1.
DFT (GGA-PBEsol) results for a relaxed structure of TlGa2H.

The calculation puts the uncorrected energy at -10.6 eV/f.u.

The structure belongs to space group Fm-3m (No. 225); the cell edges are 6.565, 6.565 and 6.565 Å and the angles 90.00°, 90.00° and 90.00°. The distinct sites, in fractional coordinates, are Tl at (0.000, 0.000, 0.000), Ga at (0.250, 0.250, 0.250) and H at (0.000, 0.000, 0.500).



2.
DFT (GGA-PBEsol) results for a relaxed structure of MoPt2Pb.

For the energy relative to the elements, the calculation gives 0.1191 eV/atom. The calculation puts the uncorrected energy at -29.2 eV/f.u.

The structure belongs to space group Cm (No. 8); the cell edges are 8.930, 3.021 and 5.261 Å and the angles 90.00°, 99.83° and 90.00°. The distinct sites, in fractional coordinates, are Mo at (0.000, 0.000, 0.000), Pt at (0.239, 0.500, 0.173), Pt at (0.487, 0.000, 0.418) and Pb at (0.242, 0.000, 0.685).



3.
DFT (GGA-PBEsol) results for a relaxed structure of TlSbTe2.

The energy relative to the lowest polymorph listed for this composition comes out at 93 kJ/mol of formula units. The calculation puts the uncorrected energy at -14.1 eV/f.u. The calculation puts the uncorrected formation energy at 0.038 eV/atom.

The structure belongs to space group P4/mmm (No. 123); the cell edges are 5.399, 5.399 and 3.801 Å and the angles 90.00°, 90.00° and 90.00°. The distinct sites, in fractional coordinates, are Tl at (0.000, 0.000, 0.000), Sb at (0.500, 0.500, 0.000) and Te at (0.000, 0.500, 0.500).



4.
DFT (GGA-PBEsol) results for a relaxed structure of CaPrBi2O6.

The calculation puts the uncorrected energy at -67.8 eV/f.u. The calculation puts the uncorrected formation energy at -2.039 eV/atom.

The structure belongs to space group Pmn2_1 (No. 31); the cell edges are 8.506, 6.146 and 5.831 Å and the angles 90.00°, 90.00° and 90.00°. The distinct sites, in fractional coordinates, are Ca at (0.000, 0.201, 0.000), Pr at (0.000, 0.683, 0.465), Bi at (0.250, 0.245, 0.487), O at (0.000, 0.318, 0.627), O at (0.000, 0.822, 0.845), O at (0.173, 0.448, 0.182) and O at (0.179, 0.934, 0.310).



5.
DFT (GGA-PBEsol) results for a relaxed structure of BeZn2Ag.

For the energy relative to the elements, the calculation gives 0.1269 eV/atom. The calculation puts the uncorrected energy at -10.0 eV/f.u.

The structure belongs to space group R-3m (No. 166, hexagonal axes); the cell edges are 2.7249, 2.7249 and 25.0012 Å and the angles 90.00°, 90.00° and 120.00°. The distinct sites, in fractional coordinates, are Be at (0.0000, 0.0000, 0.0000), Zn at (0.0000, 0.0000, 0.2580) and Ag at (0.0000, 0.0000, 0.5000).



6.
DFT (GGA-PBEsol) results for a relaxed structure of CoAg2HS.

The calculation puts the uncorrected energy at -19.1 eV/f.u.

The structure belongs to space group P4/mmm (No. 123); the cell edges are 4.850, 4.850 and 2.981 Å and the angles 90.00°, 90.00° and 90.00°. The distinct sites, in fractional coordinates, are Co at (0.000, 0.000, 0.000), Ag at (0.000, 0.500, 0.500), H at (0.500, 0.500, 0.000) and S at (0.500, 0.500, 0.500).



7.
DFT (GGA-PBEsol) results for a relaxed structure of Ti2H4Pd.

The calculation puts the uncorrected energy at -38.9 eV/f.u.

The structure belongs to space group I4/mmm (No. 139); the cell edges are 2.894, 2.894 and 13.012 Å and the angles 90.00°, 90.00° and 90.00°. The distinct sites, in fractional coordinates, are Ti at (0.000, 0.000, 0.154), H at (0.000, 0.000, 0.367), H at (0.000, 0.500, 0.250) and Pd at (0.000, 0.000, 0.500).



8.
DFT (GGA-PBEsol) results for a relaxed structure of Ag4Au.

The energy relative to the lowest polymorph listed for this composition comes out at 0 kJ/mol of formula units. For the energy relative to the elements, the calculation gives -0.0340 eV/atom. The calculation puts the uncorrected energy at -17.3 eV/f.u.

The structure belongs to space group I4/m (No. 87); the cell edges are 6.403, 6.403 and 4.049 Å and the angles 90.00°, 90.00° and 90.00°. The distinct sites, in fractional coordinates, are Ag at (0.100, 0.300, 0.000) and Au at (0.000, 0.000, 0.500).